Na3WF8 GGA+U optimized geometry; magnetization = 0.083 μB per atom; total DFT energy (no corrections) = -4.919 eV per atom
1.0
-2.690 2.690 5.295
2.690 -2.690 5.295
2.690 2.690 -5.295
Na W F
3 1 8
Direct
0.000 0.000 0.000 Na
0.250 0.750 0.500 Na
0.750 0.250 0.500 Na
0.500 0.500 0.000 W
0.166 0.166 0.555 F
0.166 0.611 0.000 F
0.389 0.389 0.555 F
0.389 0.834 0.000 F
0.611 0.166 0.000 F
0.611 0.611 0.445 F
0.834 0.389 0.000 F
0.834 0.834 0.445 F